An optimized crystal structure of AlMoPb2O6, computed with GGA+U.

The structure belongs to space group Immm (No. 71); the cell edges are 5.5313, 5.5961 and 7.9862 Å and the angles 90.00°, 90.00° and 90.00°. The asymmetric unit holds Al at (0.0000, 0.0000, 0.0000), Mo at (0.0000, 0.0000, 0.5000), Pb at (0.0000, 0.5000, 0.2521), O at (0.0000, 0.0000, 0.2439) and O at (0.2492, 0.2442, 0.0000).

The crystal system is orthorhombic. The volume comes out at 12.36 Å³ per atom. The calculated total energy comes out at -6.54 eV per atom.